First-principles (PBE) data for an optimized crystal structure of CeSmNO, as listed in Alexandria via LeMat-Bulk.

Cell lengths 3.537, 3.537, 5.040 Å; angles 90.00, 90.00, 90.00 degrees
Space group P4/mmm (No. 123)
Asymmetric unit:
Ce (0.000, 0.000, 0.000)
Sm (0.500, 0.500, 0.500)
N (0.500, 0.500, 0.000)
O (0.000, 0.000, 0.500)

Energy relative to the elements, uncorrected (eV per formula unit): -8.80
M_tot (μB/cell): 0.4

***

First-principles (PBE) data for an optimized crystal structure of PmPa2AgO8, as listed in Alexandria via LeMat-Bulk.

Cell lengths 5.473, 5.473, 10.828 Å; angles 90.00, 90.00, 90.00 degrees
Space group I-4m2 (No. 119)
Asymmetric unit:
Pm (0.000, 0.000, 0.000)
Pa (0.000, 0.000, 0.500)
Pa (0.000, 0.500, 0.750)
Ag (0.000, 0.500, 0.250)
O (0.230, 0.252, 0.624)

Energy relative to the elements, uncorrected (eV per formula unit): -33.12
M_tot (μB/cell): 0.0

***

First-principles (PBE) data for an optimized crystal structure of YbBi2BrO4, as listed in Alexandria via LeMat-Bulk.

Cell lengths 3.912, 3.912, 9.385 Å; angles 90.00, 90.00, 90.00 degrees
Space group P4/mmm (No. 123)
Asymmetric unit:
Yb (0.000, 0.000, 0.000)
Bi (0.500, 0.500, 0.268)
Br (0.000, 0.000, 0.500)
O (0.000, 0.500, 0.149)

Energy relative to the elements, uncorrected (eV per formula unit): -13.87
M_tot (μB/cell): 0.9

***

First-principles (PBE) data for an optimized crystal structure of SiSbBr, as listed in Alexandria via LeMat-Bulk.

Cell lengths 6.974, 6.974, 6.974 Å; angles 90.00, 90.00, 90.00 degrees
Space group F-43m (No. 216)
Asymmetric unit:
Si (0.000, 0.000, 0.000)
Sb (0.000, 0.000, 0.500)
Br (0.250, 0.250, 0.250)

Energy relative to the elements, uncorrected (eV per formula unit): 3.13
M_tot (μB/cell): 0.0

***

First-principles (PBE) data for an optimized crystal structure of TaSi2Pt, as listed in Alexandria via LeMat-Bulk.

Cell lengths 2.9037, 2.9037, 25.0047 Å; angles 90.00, 90.00, 120.00 degrees
Space group R-3m (No. 166, hexagonal axes)
Asymmetric unit:
Ta (0.0000, 0.0000, 0.0000)
Si (0.0000, 0.0000, 0.2466)
Pt (0.0000, 0.0000, 0.5000)

Energy relative to the elements, uncorrected (eV per formula unit): -0.82
M_tot (μB/cell): 0.0

***

First-principles (PBE) data for an optimized crystal structure of Al2ZnOsAu, as listed in Alexandria via LeMat-Bulk.

Cell lengths 4.670, 4.670, 5.228 Å; angles 90.00, 90.00, 90.00 degrees
Space group P4/mmm (No. 123)
Asymmetric unit:
Al (0.000, 0.500, 0.000)
Zn (0.000, 0.000, 0.500)
Os (0.500, 0.500, 0.500)
Au (0.500, 0.500, 0.000)

M_tot (μB/cell): 2.4
Formation energy (kJ per mole of atoms): 107.65

***

First-principles (PBE) data for an optimized crystal structure of La2YPbC, as listed in Alexandria via LeMat-Bulk.

Cell lengths 5.241, 5.241, 4.973 Å; angles 90.00, 90.00, 90.00 degrees
Space group P4/mmm (No. 123)
Asymmetric unit:
La (0.000, 0.500, 0.000)
Y (0.000, 0.000, 0.500)
Pb (0.500, 0.500, 0.500)
C (0.000, 0.000, 0.000)

M_tot (μB/cell): 0.0
Formation energy (kJ per mole of atoms): -43.64

***

First-principles (PBE) data for an optimized crystal structure of Tb6HoTh4, as listed in Alexandria via LeMat-Bulk.

Cell lengths 7.819, 7.819, 13.023 Å; angles 90.00, 90.00, 90.00 degrees
Space group I-42m (No. 121)
Asymmetric unit:
Tb (0.000, 0.500, 0.000)
Tb (0.246, 0.246, 0.185)
Ho (0.000, 0.000, 0.500)
Th (0.169, 0.169, 0.927)

M_tot (μB/cell): 0.0
Formation energy (kJ per mole of atoms): 47.03

***

First-principles (PBE) data for an optimized crystal structure of CaVCu, as listed in Alexandria via LeMat-Bulk.

Cell lengths 4.949, 4.969, 9.926 Å; angles 90.00, 90.00, 90.00 degrees
Space group Cmmm (No. 65)
Asymmetric unit:
Ca (0.000, 0.000, 0.183)
V (0.000, 0.500, 0.406)
Cu (0.000, 0.000, 0.500)
Cu (0.000, 0.500, 0.000)

M_tot (μB/cell): 0.0
Formation energy (kJ per mole of atoms): 30.85

***

First-principles (PBE) data for an optimized crystal structure of Tl2InSn7, as listed in Alexandria via LeMat-Bulk.

Cell lengths 5.448, 5.448, 10.776 Å; angles 90.00, 90.00, 90.00 degrees
Space group P-4m2 (No. 115)
Asymmetric unit:
Tl (0.000, 0.500, 0.249)
In (0.000, 0.000, 0.500)
Sn (0.000, 0.000, 0.000)
Sn (0.000, 0.500, 0.617)
Sn (0.000, 0.500, 0.883)
Sn (0.500, 0.500, 0.000)
Sn (0.500, 0.500, 0.500)

M_tot (μB/cell): 0.0
Formation energy (kJ per mole of atoms): 6.38

***

First-principles (PBE) data for an optimized crystal structure of La12Ir3C5, as listed in Alexandria via LeMat-Bulk.

Cell lengths 16.193, 16.193, 16.193 Å; angles 90.00, 90.00, 90.00 degrees
Space group Ia-3d (No. 230)
Asymmetric unit:
La (0.026, 0.056, 0.652)
Ir (0.000, 0.250, 0.125)
C (0.000, 0.000, 0.000)
C (0.000, 0.250, 0.375)

M_tot (μB/cell): 0.0
Formation energy (kJ per mole of atoms): -17.90

***

First-principles (PBE) data for an optimized crystal structure of Yb3Cu4Si4, as listed in Alexandria via LeMat-Bulk.

Cell lengths 4.171, 6.603, 13.626 Å; angles 90.00, 90.00, 90.00 degrees
Space group Immm (No. 71)
Asymmetric unit:
Yb (0.000, 0.000, 0.000)
Yb (0.000, 0.500, 0.132)
Cu (0.000, 0.308, 0.331)
Si (0.000, 0.000, 0.218)
Si (0.000, 0.178, 0.500)

Energy relative to the elements, uncorrected (eV per formula unit): -4.73
M_tot (μB/cell): 0.0